TcOsW2, optimized geometry, DFT PBE; relative energy among the computed polymorphs = 0.22 eV per formula unit; total moment = 0.00 Bohr magnetons per cell
1.0
2.7447 0.0000 0.0000
0.0000 4.3803 0.0000
-1.1266 0.0000 5.1488
Tc Os W
1 1 2
Cartesian
0.0000 0.0000 0.0000 Tc
0.1690 2.1902 3.7676 Os
1.0315 0.0000 2.5722 W
1.8650 2.1902 1.2078 W

Tc2Os5W2, optimized geometry, DFT PBE; total moment = 0.00 Bohr magnetons per cell
1.0
4.3717 -1.9459 0.0000
4.3717 1.9459 0.0000
-2.6203 0.0000 7.8461
Tc Os W
2 5 2
Cartesian
1.3451 0.0000 0.4138 Tc
4.7780 0.0000 7.4324 Tc
-0.4214 0.0000 5.6998 Os
3.9015 0.0000 1.3159 Os
3.0616 0.0000 3.9231 Os
2.2217 0.0000 6.5303 Os
6.5446 0.0000 2.1463 Os
0.3707 0.0000 3.0017 W
5.7524 0.0000 4.8444 W

TcOsW, optimized geometry, DFT PBE; relative energy among the computed polymorphs = 0.44 eV per formula unit; total moment = 0.00 Bohr magnetons per cell
1.0
-2.1960 2.7304 3.7963
2.1960 -2.7304 3.7963
2.1960 2.7304 -3.7963
Tc Os W
2 2 2
Cartesian
0.0000 0.0000 1.2483 Tc
0.0000 0.0000 6.3442 Tc
2.1960 1.3525 0.0000 Os
0.0000 1.3779 3.7963 Os
2.1960 0.0000 2.5040 W
0.0000 2.7304 1.2922 W

TcOsW2, optimized geometry, DFT PBE; relative energy among the computed polymorphs = 0.00 eV per formula unit; total moment = 0.00 Bohr magnetons per cell
1.0
3.9756 0.0000 0.0000
0.0000 3.9756 0.0000
0.0000 0.0000 3.8887
Tc Os W
1 1 2
Cartesian
0.0000 0.0000 0.0000 Tc
1.9878 1.9878 0.0000 Os
0.0000 1.9878 1.9443 W
1.9878 0.0000 1.9443 W

TcOsW2, optimized geometry, DFT PBE; relative energy among the computed polymorphs = 0.03 eV per formula unit; total moment = 0.00 Bohr magnetons per cell
1.0
4.6634 -1.3937 0.0000
4.6634 1.3937 0.0000
-0.7965 0.0000 4.7386
Tc Os W
1 1 2
Cartesian
0.0000 0.0000 0.0000 Tc
1.8448 0.0000 3.5749 Os
4.4033 0.0000 2.4486 W
6.8471 0.0000 1.1508 W

Tc5Os2W, optimized geometry, DFT PBE; total moment = 0.00 Bohr magnetons per cell
1.0
4.7912 0.0000 0.0000
-2.3934 4.6413 0.0000
-0.0010 -1.6450 5.2815
Tc Os W
5 2 1
Cartesian
0.0000 0.0000 0.0000 Tc
-0.0044 -0.7924 2.6418 Tc
0.0178 4.2163 1.3104 Tc
1.6101 1.2937 3.2961 Tc
1.5946 2.1587 0.6733 Tc
-0.7989 1.6877 1.9576 Os
-0.7927 0.8743 4.6227 Os
0.0062 3.3754 3.9476 W

TcOsW2, optimized geometry, DFT PBE; relative energy among the computed polymorphs = 0.02 eV per formula unit; total moment = 0.00 Bohr magnetons per cell
1.0
2.8214 -3.8652 0.0000
2.8214 3.8652 0.0000
0.0000 0.0000 2.8197
Tc Os W
1 1 2
Cartesian
0.0000 0.0000 0.0000 Tc
2.8214 0.0000 0.0000 Os
1.4107 1.9326 1.4098 W
1.4107 -1.9326 1.4098 W

TcOsW2, optimized geometry, DFT PBE; relative energy among the computed polymorphs = 0.50 eV per formula unit; total moment = 0.00 Bohr magnetons per cell
1.0
1.3860 0.8002 9.2952
-1.3860 0.8002 9.2952
0.0000 -1.6004 9.2952
Tc Os W
1 1 2
Cartesian
0.0000 0.0000 0.0000 Tc
0.0000 0.0000 20.8080 Os
0.0000 0.0000 6.9628 W
0.0000 0.0000 13.7923 W

TcOsW2, optimized geometry, DFT PBE; relative energy among the computed polymorphs = 0.37 eV per formula unit; total moment = 0.00 Bohr magnetons per cell
1.0
-1.5592 2.2555 4.3811
1.5592 -2.2555 4.3811
1.5592 2.2555 -4.3811
Tc Os W
1 1 2
Cartesian
0.0000 0.0000 0.0000 Tc
0.0000 0.0000 4.3811 Os
1.5592 0.0000 2.1411 W
0.0000 2.2555 2.2400 W

TcOsW2, optimized geometry, DFT PBE; relative energy among the computed polymorphs = 0.57 eV per formula unit; total moment = 0.00 Bohr magnetons per cell
1.0
0.0000 3.1363 3.1363
3.1363 0.0000 3.1363
3.1363 3.1363 0.0000
Tc Os W
1 1 2
Cartesian
0.0000 0.0000 0.0000 Tc
4.7045 4.7045 4.7045 Os
1.5682 1.5682 1.5682 W
3.1363 3.1363 3.1363 W

TcOsW2, optimized geometry, DFT PBE; relative energy among the computed polymorphs = 0.24 eV per formula unit; total moment = 0.00 Bohr magnetons per cell
1.0
-1.5615 2.2209 4.4671
1.5615 -2.2209 4.4671
1.5615 2.2209 -4.4671
Tc Os W
1 1 2
Cartesian
0.0000 0.0000 0.0000 Tc
1.5615 0.0000 2.4379 Os
0.0000 0.0000 4.6443 W
0.0000 2.2209 2.2908 W

TcOsW2, optimized geometry, DFT PBE; relative energy among the computed polymorphs = 0.20 eV per formula unit; total moment = 0.00 Bohr magnetons per cell
1.0
2.7809 0.0000 0.0000
0.0000 3.9452 0.0000
0.0000 0.0000 5.6181
Tc Os W
1 1 2
Cartesian
0.0000 0.0000 0.0000 Tc
1.3905 1.9726 4.2322 Os
0.0000 0.0000 2.8819 W
1.3905 1.9726 1.3666 W

TcOsW2, optimized geometry, DFT PBE; relative energy among the computed polymorphs = 6.24 eV per formula unit; total moment = 0.00 Bohr magnetons per cell
1.0
-2.8517 2.8517 5.6655
2.8517 -2.8517 5.6655
2.8517 2.8517 -5.6655
Tc Os W
2 2 4
Cartesian
0.0000 0.0000 0.0000 Tc
0.0000 2.8517 2.8328 Tc
2.8517 0.0000 2.8328 Os
0.0000 0.0000 5.6655 Os
1.4259 -1.4204 4.2491 W
1.4313 1.4259 1.4164 W
1.4259 4.2721 -1.4164 W
1.4204 1.4259 7.0819 W

ZnTcOs2W, optimized geometry, DFT PBE; total moment = 0.00 Bohr magnetons per cell
1.0
4.3898 0.0000 0.0000
0.0000 4.3898 0.0000
0.0000 0.0000 4.4702
Zn Tc Os W
1 1 2 1
Cartesian
0.0000 0.0000 0.0000 Zn
2.1949 2.1949 2.2351 Tc
0.0000 2.1949 0.0000 Os
2.1949 0.0000 0.0000 Os
0.0000 0.0000 2.2351 W

Zr2TcOsW, optimized geometry, DFT PBE; total moment = 1.55 Bohr magnetons per cell
1.0
4.9921 0.0000 0.0000
0.0000 4.9921 0.0000
0.0000 0.0000 4.6998
Zr Tc Os W
2 1 1 1
Cartesian
0.0000 2.4960 0.0000 Zr
2.4960 0.0000 0.0000 Zr
0.0000 0.0000 2.3499 Tc
2.4960 2.4960 0.0000 Os
2.4960 2.4960 2.3499 W

ZrTcOsW, optimized geometry, DFT PBE; total moment = 0.00 Bohr magnetons per cell
1.0
0.0000 3.2037 3.2037
3.2037 0.0000 3.2037
3.2037 3.2037 0.0000
Zr Tc Os W
1 1 1 1
Cartesian
0.0000 0.0000 0.0000 Zr
4.8055 4.8055 4.8055 Tc
1.6018 1.6018 1.6018 Os
3.2037 3.2037 3.2037 W

Y4TcOs, optimized geometry, DFT PBE; total moment = 0.00 Bohr magnetons per cell
1.0
0.0000 4.1223 4.1223
4.1223 0.0000 4.1223
4.1223 4.1223 0.0000
Y Tc Os
4 1 1
Cartesian
1.0284 1.0284 1.0284 Y
3.0939 3.0939 1.0284 Y
3.0939 1.0284 3.0939 Y
1.0284 3.0939 3.0939 Y
4.1223 4.1223 4.1223 Tc
6.1834 6.1834 6.1834 Os

YTc4Os, optimized geometry, DFT PBE; total moment = 0.00 Bohr magnetons per cell
1.0
0.0000 3.6847 3.6847
3.6847 0.0000 3.6847
3.6847 3.6847 0.0000
Y Tc Os
1 4 1
Cartesian
0.0000 0.0000 0.0000 Y
2.7541 2.7541 2.7541 Tc
4.6153 4.6153 2.7541 Tc
4.6153 2.7541 4.6153 Tc
2.7541 4.6153 4.6153 Tc
5.5271 5.5271 5.5271 Os

Y2TcOs, optimized geometry, DFT PBE; total moment = 0.00 Bohr magnetons per cell
1.0
-1.6757 2.3984 5.1059
1.6757 -2.3984 5.1059
1.6757 2.3984 -5.1059
Y Tc Os
2 1 1
Cartesian
0.0000 0.0000 0.0000 Y
0.0000 2.3984 2.2691 Y
0.0000 0.0000 4.6868 Tc
1.6757 0.0000 2.6417 Os

Y2TcOs, optimized geometry, DFT PBE; total moment = 0.00 Bohr magnetons per cell
1.0
3.4655 0.0000 0.0000
0.0000 4.4799 0.0000
0.0000 0.0000 5.1231
Y Tc Os
2 1 1
Cartesian
0.0000 0.0000 0.0000 Y
1.7328 0.0000 2.5616 Y
0.0000 2.2400 2.5616 Tc
1.7328 2.2400 0.0000 Os

Taking the records one at a time from the top gives energy of formation values of 0.177 0.061 0.205 0.123 0.131 -0.019 0.127 0.249 0.215 0.267 0.183 0.174 1.684 2.027 1.269 -0.149 1.155 0.232 0.023 0.313 eV per atom.
Taking the records one at a time from the top gives N(E_F) values of 3.52 8.84 1.14 4.98 2.97 7.40 3.04 5.86 3.85 4.75 3.46 3.26 3.72 3.92 8.36 2.82 8.63 7.33 3.26 3.47 states/eV/f.u..
Taking the records one at a time from the top gives theoretical density values of 17.59 18.84 17.22 17.72 17.68 14.91 17.71 17.61 17.67 17.65 17.58 17.67 11.82 14.03 9.28 14.22 7.63 11.14 9.43 9.73 Mg/m³.